The following is a PBE-GGA calculation of an optimized crystal structure of Rb2BeHgBr6, from Alexandria via LeMat-Bulk.

```
10
Lattice="7.725 0.000 0.000 0.000 7.725 0.000 3.863 3.863 5.628" Properties=species:S:1:pos:R:3 pbc="T T T"
Be 3.863 3.863 0.000
Br 3.863 3.863 3.100
Br 7.725 7.725 2.527
Br 2.212 2.212 0.000
Br 5.514 5.514 0.000
Br 5.514 2.212 0.000
Br 2.212 5.514 0.000
Hg 0.000 0.000 0.000
Rb 7.725 3.863 2.814
Rb 3.863 7.725 2.814
```

M_tot (μB/f.u.): 0.0
Symmetry: I4/mmm, No. 139
Energy relative to the elements, uncorrected (meV/atom): -1010.0

The following is a PBE-GGA calculation of an optimized crystal structure of MgCu2Cl, from Alexandria via LeMat-Bulk.

```
4
Lattice="3.170 0.000 0.000 0.000 3.307 -0.129 0.000 1.841 7.032" Properties=species:S:1:pos:R:3 pbc="T T T"
Cl 1.585 4.473 4.607
Cu 0.000 2.697 0.733
Cu 1.585 1.074 1.585
Mg 0.000 2.786 3.300
```

Relative energy among the computed polymorphs (eV/atom): 0.000
M_tot (μB/f.u.): 0.0
Symmetry: Pm, No. 6
Energy relative to the elements, uncorrected (meV/atom): -265.1

The following is a PBE-GGA calculation of an optimized crystal structure of CePa2AgN5, from Alexandria via LeMat-Bulk.

```
18
Lattice="3.535 0.000 0.000 -1.767 6.548 0.000 0.000 0.000 11.662" Properties=species:S:1:pos:R:3 pbc="T T T"
Ce 1.767 3.929 5.677
Ce 0.000 2.619 11.508
Pa 1.767 4.892 8.773
Pa 0.000 1.591 8.004
Pa 0.000 1.656 2.942
Pa 1.767 4.957 2.174
Ag 0.000 6.391 11.221
Ag 1.767 0.157 5.390
N 0.000 4.619 0.901
N 1.767 2.862 9.861
N 0.000 6.441 9.028
N 0.000 3.820 7.649
N 1.767 5.926 6.803
N 1.767 1.929 6.732
N 0.000 3.686 4.030
N 1.767 0.108 3.197
N 1.767 2.728 1.818
N 0.000 0.622 0.972
```

M_tot (μB/f.u.): 0.0
Symmetry: Cmc2_1, No. 36
Energy relative to the elements, uncorrected (meV/atom): -1000.0

The following is a PBE-GGA calculation of an optimized crystal structure of Ba4Li3Cd2, from Alexandria via LeMat-Bulk.

```
9
Lattice="-4.215 -1.787 -0.644 3.004 -4.889 -6.088 2.937 -3.975 8.401" Properties=species:S:1:pos:R:3 pbc="T T T"
Ba 2.521 -5.773 -0.473
Ba -0.794 -4.879 2.142
Ba 0.618 -5.862 -4.367
Ba 1.108 -4.789 6.036
Li 0.864 -2.049 0.030
Li 0.862 -8.602 1.639
Li 1.502 -2.445 -3.044
Cd 2.321 -6.602 3.133
Cd -0.594 -4.050 -1.464
```

Energy of formation (meV per atom): -115.0
M_tot (μB/f.u.): 0.0
Symmetry: C2/m, No. 12

The following is a PBE-GGA calculation of an optimized crystal structure of RbPaBr2, from Alexandria via LeMat-Bulk.

```
4
Lattice="-1.806 -1.618 2.874 -0.966 -3.629 -0.190 8.855 -4.590 5.439" Properties=species:S:1:pos:R:3 pbc="T T T"
Pa 3.042 -4.918 4.062
Br 5.808 -3.705 4.023
Br 0.275 -6.132 4.101
Rb 0.000 0.000 0.000
```

M_tot (μB/f.u.): 1.1
Symmetry: R-3m, No. 166
Energy relative to the elements, uncorrected (meV/atom): -776.3

The following is a PBE-GGA calculation of an optimized crystal structure of Y2TcHg, from Alexandria via LeMat-Bulk.

```
4
Lattice="-8.131 0.600 -5.544 -9.549 -0.021 -2.457 -8.701 3.206 -3.350" Properties=species:S:1:pos:R:3 pbc="T T T"
Hg -12.913 1.853 -5.556
Tc -19.831 2.845 -8.533
Y -0.453 0.065 -0.195
Y -6.375 0.915 -2.743
```

Energy of formation (meV per atom): 301.1
M_tot (μB/f.u.): 0.6
Symmetry: R3m, No. 160

The following is a PBE-GGA calculation of an optimized crystal structure of Y3Ta, from Alexandria via LeMat-Bulk.

```
16
Lattice="6.816 0.000 0.000 3.408 5.903 0.000 0.000 0.000 10.827" Properties=species:S:1:pos:R:3 pbc="T T T"
Y 5.112 2.951 0.000
Y 5.112 2.951 5.414
Y 6.816 1.894 8.120
Y 5.048 4.956 8.120
Y 1.640 0.947 2.707
Y 3.408 0.000 0.000
Y 3.408 0.000 5.414
Y 1.704 2.951 0.000
Y 1.704 2.951 5.414
Y 8.583 4.956 8.120
Y 5.176 0.947 2.707
Y 3.408 4.009 2.707
Ta 0.000 0.000 0.000
Ta 0.000 0.000 5.414
Ta 6.816 3.935 2.707
Ta 3.408 1.968 8.120
```

Energy of formation (meV per atom): 335.2
Relative energy among the computed polymorphs (eV/atom): 0.066
M_tot (μB/f.u.): 0.0
Symmetry: P6_3/mmc, No. 194

The following is a PBE-GGA calculation of an optimized crystal structure of Rb2AuBr6, from Alexandria via LeMat-Bulk.

```
18
Lattice="7.554 0.000 0.000 0.000 7.554 0.000 0.000 0.000 14.151" Properties=species:S:1:pos:R:3 pbc="T T T"
Rb 0.000 0.000 4.799
Rb 3.777 3.777 11.874
Rb 3.777 3.777 2.277
Rb 0.000 0.000 9.352
Au 0.000 0.000 0.000
Au 3.777 3.777 7.075
Br 2.529 2.529 5.280
Br 5.024 5.024 5.280
Br 1.248 6.306 12.355
Br 6.306 1.248 12.355
Br 1.248 6.306 1.796
Br 6.306 1.248 1.796
Br 2.529 2.529 8.871
Br 5.024 5.024 8.871
Br 1.989 1.989 0.000
Br 5.565 5.565 0.000
Br 1.788 5.765 7.075
Br 5.765 1.788 7.075
```

M_tot (μB/f.u.): 1.0
Symmetry: P4_2/mnm, No. 136
Energy relative to the elements, uncorrected (meV/atom): -711.2

The following is a PBE-GGA calculation of an optimized crystal structure of TlPd2Pt2, from Alexandria via LeMat-Bulk.

```
5
Lattice="-2.252 -1.816 -2.384 2.028 -3.119 0.461 -4.006 -4.255 4.079" Properties=species:S:1:pos:R:3 pbc="T T T"
Tl 0.000 0.000 0.000
Pd -3.185 -4.270 0.366
Pd -1.045 -4.921 1.789
Pt -0.887 -2.823 0.041
Pt -3.343 -6.367 2.114
```

Energy of formation (meV per atom): 193.2
Relative energy among the computed polymorphs (eV/atom): 0.124
M_tot (μB/f.u.): 0.0
Symmetry: I4/mmm, No. 139

The following is a PBE-GGA calculation of an optimized crystal structure of TiCoCuRh, from Alexandria via LeMat-Bulk.

```
4
Lattice="-3.487 0.423 2.304 0.118 -0.710 4.139 -0.363 3.204 2.692" Properties=species:S:1:pos:R:3 pbc="T T T"
Co -2.800 2.187 6.851
Rh -0.933 0.729 2.284
Cu -1.866 1.458 4.567
Ti 0.000 0.000 0.000
```

Energy of formation (meV per atom): -310.8
Relative energy among the computed polymorphs (eV/atom): 0.066
M_tot (μB/f.u.): 0.6
Symmetry: F-43m, No. 216

The following is a PBE-GGA calculation of an optimized crystal structure of FeRh5, from Alexandria via LeMat-Bulk.

```
6
Lattice="2.714 0.000 0.000 0.000 3.781 0.000 0.000 0.000 8.115" Properties=species:S:1:pos:R:3 pbc="T T T"
Fe 0.000 0.000 0.000
Rh 1.357 1.891 6.806
Rh 0.000 0.000 5.437
Rh 1.357 1.891 4.057
Rh 0.000 0.000 2.677
Rh 1.357 1.891 1.309
```

Energy of formation (meV per atom): -4.5
M_tot (μB/f.u.): 2.6
Symmetry: Pmmm, No. 47

The following is a PBE-GGA calculation of an optimized crystal structure of ZnMo3Se, from Alexandria via LeMat-Bulk.

```
5
Lattice="4.600 0.000 0.000 0.000 4.600 0.000 0.000 0.000 4.600" Properties=species:S:1:pos:R:3 pbc="T T T"
Mo 0.000 2.300 0.000
Mo 0.000 0.000 2.300
Mo 2.300 0.000 0.000
Zn 2.300 2.300 2.300
Se 0.000 0.000 0.000
```

Relative energy among the computed polymorphs (eV/atom): 0.000
M_tot (μB/f.u.): 0.0
Symmetry: Pm-3m, No. 221
Energy relative to the elements, uncorrected (meV/atom): 1118.0